Entry from Alexandria: a relaxed ReTc8H5 crystal (PBE-GGA).

Output
- DFT total energy: -8.057 eV/atom
- M_tot: 0.0 Bohr magnetons per cell
- SG: C2/m, No. 12

Cell lengths 2.832, 6.932, 7.510 Å; angles 103.62, 100.87, 90.00 degrees
Fractional positions:
Tc (0.573, 0.168, 0.147)
Tc (0.427, 0.832, 0.853)
Tc (0.241, 0.164, 0.482)
Tc (0.090, 0.828, 0.180)
Tc (0.910, 0.172, 0.820)
Tc (0.759, 0.836, 0.518)
Tc (0.839, 0.496, 0.678)
Tc (0.161, 0.504, 0.322)
H (0.705, 0.346, 0.410)
H (0.664, 0.987, 0.329)
H (0.336, 0.013, 0.672)
H (0.295, 0.654, 0.590)
H (0.000, 0.000, 0.000)
Re (0.500, 0.500, 0.000)